# 1
Here is a geometry-optimized Pr3MgAl2Pt2Au structure from OQMD. Energies are from PBE.

Computed properties:
- E_tot: -5.169 eV per atom

Cell: 4.2761 7.3460 7.3460 Å, 118.88 90.00 90.00°
Fractional coordinates of all 9 atoms:
Pr  0.0000  0.0000  0.0000
Pr  0.0000  0.1611  0.5850
Pr  0.0000  0.5850  0.1611
Mg  0.5000  0.3449  0.3449
Al  0.5000  0.5879  0.8263
Al  0.5000  0.8263  0.5879
Pt  0.5000  0.2511  0.9057
Pt  0.5000  0.9057  0.2511
Au  0.0000  0.5924  0.5924



# 2
Here is a geometry-optimized In8Fe2Pd structure from OQMD. Energies are from PBE.

Computed properties:
- E_tot: -3.790 eV per atom

Cell: 4.6375 4.6375 11.2640 Å, 90.00 90.00 90.00°
Fractional coordinates of all 11 atoms:
In  0.0000  0.0000  0.1829
In  0.0000  0.0000  0.8171
In  0.0000  0.5000  0.0000
In  0.0000  0.5000  0.3598
In  0.0000  0.5000  0.6402
In  0.5000  0.0000  0.0000
In  0.5000  0.0000  0.3598
In  0.5000  0.0000  0.6402
Fe  0.5000  0.5000  0.2030
Fe  0.5000  0.5000  0.7970
Pd  0.5000  0.5000  0.5000